Here is a relaxed structure of LiAlC from Alexandria. Energies are from PBE-GGA.

The space group is P2/m (No. 10) and the conventional cell measures 4.363, 3.328 and 5.493 Å, with angles of 90.00, 111.54 and 90.00 degrees. Symmetry generates all atoms from Li at (0.120, 0.000, 0.263), Al at (0.371, 0.500, 0.723) and C at (0.157, 0.500, 0.001).

The value obtained for the magnetic moment is 0.000 μB per formula unit. The value obtained for the uncorrected energy is -4.865 eV/atom. Its calculated volume is 12.36 Å³/atom. The calculation puts the formation energy at 95 meV per atom.



Here is a relaxed structure of Er2TmThAs4 from Alexandria. Energies are from PBE-GGA.

The space group is P2/m (No. 10) and the conventional cell measures 7.136, 4.133 and 7.140 Å, with angles of 90.00, 109.49 and 90.00 degrees. Symmetry generates all atoms from Er at (0.000, 0.000, 0.000), Er at (0.500, 0.500, 0.000), Tm at (0.000, 0.500, 0.500), Th at (0.500, 0.000, 0.500), As at (0.242, 0.500, 0.243) and As at (0.246, 0.000, 0.752).

The value obtained for the magnetic moment is 0.000 μB per formula unit. The value obtained for the uncorrected energy is -6.444 eV/atom. Its calculated volume is 24.81 Å³/atom. The calculation puts the formation energy at -1492 meV per atom.



Here is a relaxed structure of NaTl4Bi2 from Alexandria. Energies are from PBE-GGA.

The space group is P2_1/c (No. 14) and the conventional cell measures 8.465, 6.477 and 11.794 Å, with angles of 90.00, 133.83 and 90.00 degrees. Symmetry generates all atoms from Na at (0.000, 0.000, 0.000), Tl at (0.378, 0.001, 0.689), Tl at (0.500, 0.249, 0.997) and Bi at (0.001, 0.007, 0.302).

The value obtained for the magnetic moment is 0.000 μB per formula unit. The value obtained for the uncorrected energy is -2.689 eV/atom. Its calculated volume is 33.32 Å³/atom. The calculation puts the formation energy at -40 meV per atom.